Record 1
# Na3PaI8 | the Alexandria database | GGA-PBE | relaxed
# Calculated total energy in eV per atom: -3.036
# Crystal system: trigonal
# Raw formation energy in eV per atom: -0.88
data_Na3PaI8
_chemical_formula_sum 'Na3 Pa1 I8'
_space_group_name_H-M_alt 'P -3'
_space_group_IT_number 147
_space_group_name_Hall '-P 3'
_cell_length_a 10.4374
_cell_length_b 10.4374
_cell_length_c 6.7025
_cell_angle_alpha 90.00
_cell_angle_beta 90.00
_cell_angle_gamma 120.00
loop_
_atom_site_label
_atom_site_type_symbol
_atom_site_fract_x
_atom_site_fract_y
_atom_site_fract_z
Na1 Na 0.0000 0.0000 0.0000
Na2 Na 0.3333 0.6667 0.9994
Pa1 Pa 0.0000 0.0000 0.5000
I1 I 0.0004 0.2403 0.2658
I2 I 0.3333 0.6667 0.5013


Record 2
# Pm3Cd2Pt | the Alexandria database | GGA-PBE | relaxed
# Calculated total energy in eV per atom: -4.240
# Crystal system: trigonal
# ΔH_f (0 K) in eV per atom: -0.55
# Energy above the most stable polymorph in this dataset in kJ/mol of atoms: 0.0
data_Pm3Cd2Pt
_chemical_formula_sum 'Pm3 Cd2 Pt1'
_space_group_name_H-M_alt 'P -3 m 1'
_space_group_IT_number 164
_space_group_name_Hall '-P 3 2"'
_cell_length_a 5.2511
_cell_length_b 5.2511
_cell_length_c 6.5461
_cell_angle_alpha 90.00
_cell_angle_beta 90.00
_cell_angle_gamma 120.00
loop_
_atom_site_label
_atom_site_type_symbol
_atom_site_fract_x
_atom_site_fract_y
_atom_site_fract_z
Pm1 Pm 0.0000 0.0000 0.0000
Pm2 Pm 0.3333 0.6667 0.6402
Cd1 Cd 0.3333 0.6667 0.1378
Pt1 Pt 0.0000 0.0000 0.5000


Record 3
# In3IrCl | the Alexandria database | GGA-PBE | relaxed
# Calculated total energy in eV per atom: -4.143
# Crystal system: monoclinic
# Raw formation energy in eV per atom: -0.36
# Energy above the most stable polymorph in this dataset in kJ/mol of atoms: 7.6
data_In3IrCl
_chemical_formula_sum 'In12 Ir4 Cl4'
_space_group_name_H-M_alt 'P 1 21/c 1'
_space_group_IT_number 14
_space_group_name_Hall '-P 2ybc'
_cell_length_a 9.565
_cell_length_b 5.578
_cell_length_c 10.857
_cell_angle_alpha 90.00
_cell_angle_beta 124.56
_cell_angle_gamma 90.00
loop_
_atom_site_label
_atom_site_type_symbol
_atom_site_fract_x
_atom_site_fract_y
_atom_site_fract_z
In1 In 0.000 0.000 0.208
In2 In 0.296 0.233 0.648
In3 In 0.372 0.749 0.936
Ir1 Ir 0.288 0.249 0.894
Cl1 Cl 0.142 0.749 0.071